# BaBS3 meta-GGA SCAN PBEsol geometry
data_BaBS3
_symmetry_space_group_name_H-M 'P m -3 m'
_symmetry_Int_Tables_number 221
_symmetry_space_group_name_Hall '-P 4 2 3'
_cell_length_a 5.7969
_cell_length_b 5.7969
_cell_length_c 5.7969
_cell_angle_alpha 90.00
_cell_angle_beta 90.00
_cell_angle_gamma 90.00
loop_
_atom_site_label
_atom_site_fract_x
_atom_site_fract_y
_atom_site_fract_z
Ba1 0.0000 0.0000 0.0000
B1 0.5000 0.5000 0.5000
S1 0.0000 0.0000 0.5000
# energy relative to the elements, uncorrected = 1.316 eV/atom
# Fermi-level density of states = 1.01 states/eV/atom
# VASP energy = -13.86 eV per atom
# magnetization = 0.600 μB per atom


# Ba2BS meta-GGA SCAN PBEsol geometry
data_Ba2BS
_symmetry_space_group_name_H-M 'F m -3 m'
_symmetry_Int_Tables_number 225
_symmetry_space_group_name_Hall '-F 4 2 3'
_cell_length_a 7.5583
_cell_length_b 7.5583
_cell_length_c 7.5583
_cell_angle_alpha 90.00
_cell_angle_beta 90.00
_cell_angle_gamma 90.00
loop_
_atom_site_label
_atom_site_fract_x
_atom_site_fract_y
_atom_site_fract_z
Ba1 0.2500 0.2500 0.2500
B1 0.0000 0.0000 0.0000
S1 0.0000 0.0000 0.5000
# energy relative to the elements, uncorrected = -0.461 eV/atom
# VASP energy = -24.50 eV per atom
# magnetization = 0.750 μB per atom


# BaBSbS4 meta-GGA SCAN PBEsol geometry
data_BaBSbS4
_symmetry_space_group_name_H-M 'P n m a'
_symmetry_Int_Tables_number 62
_cell_length_a 9.6101
_cell_length_b 6.1800
_cell_length_c 11.6619
_cell_angle_alpha 90.00
_cell_angle_beta 90.00
_cell_angle_gamma 90.00
loop_
_symmetry_equiv_pos_as_xyz
'x,y,z'
'-x,-y,-z'
'-x+1/2,-y,z+1/2'
'x+1/2,y,-z+1/2'
'x+1/2,-y+1/2,-z+1/2'
'-x+1/2,y+1/2,z+1/2'
'-x,y+1/2,-z'
'x,-y+1/2,z'
loop_
_atom_site_label
_atom_site_fract_x
_atom_site_fract_y
_atom_site_fract_z
Ba1 0.0143 0.2500 0.1673
B1 0.1912 0.7500 0.4463
Sb1 0.1861 0.2500 0.5397
S1 0.0726 0.7500 0.0933
S2 0.1670 0.7500 0.5984
S3 0.2072 0.0003 0.3668
# energy relative to the elements, uncorrected = -1.067 eV/atom
# Fermi-level density of states = 0.00 states/eV/atom
# VASP energy = -18.60 eV per atom
# magnetization = 0.000 μB per atom


# BaB3Sb meta-GGA SCAN PBEsol geometry
data_BaB3Sb
_symmetry_space_group_name_H-M 'P m -3 m'
_symmetry_Int_Tables_number 221
_symmetry_space_group_name_Hall '-P 4 2 3'
_cell_length_a 4.8500
_cell_length_b 4.8500
_cell_length_c 4.8500
_cell_angle_alpha 90.00
_cell_angle_beta 90.00
_cell_angle_gamma 90.00
loop_
_atom_site_label
_atom_site_fract_x
_atom_site_fract_y
_atom_site_fract_z
Ba1 0.0000 0.0000 0.0000
B1 0.0000 0.0000 0.5000
Sb1 0.5000 0.5000 0.5000
# energy relative to the elements, uncorrected = 2.801 eV/atom
# Fermi-level density of states = 0.52 states/eV/atom
# VASP energy = -17.02 eV per atom
# magnetization = 0.000 μB per atom


# Ba2SnBSb meta-GGA SCAN PBEsol geometry
data_Ba2SnBSb
_symmetry_space_group_name_H-M 'P 4/m m m'
_symmetry_Int_Tables_number 123
_symmetry_space_group_name_Hall '-P 4 2'
_cell_length_a 6.5840
_cell_length_b 6.5840
_cell_length_c 4.2572
_cell_angle_alpha 90.00
_cell_angle_beta 90.00
_cell_angle_gamma 90.00
loop_
_atom_site_label
_atom_site_fract_x
_atom_site_fract_y
_atom_site_fract_z
Ba1 0.0000 0.5000 0.0000
Sn1 0.0000 0.0000 0.5000
B1 0.5000 0.5000 0.5000
Sb1 0.5000 0.5000 0.0000
# energy relative to the elements, uncorrected = 0.182 eV/atom
# Fermi-level density of states = 0.63 states/eV/atom
# VASP energy = -31.76 eV per atom
# magnetization = 0.000 μB per atom


# BaBSb2Te meta-GGA SCAN PBEsol geometry
data_BaBSb2Te
_symmetry_space_group_name_H-M 'P 4/m m m'
_symmetry_Int_Tables_number 123
_symmetry_space_group_name_Hall '-P 4 2'
_cell_length_a 4.9614
_cell_length_b 4.9614
_cell_length_c 5.2714
_cell_angle_alpha 90.00
_cell_angle_beta 90.00
_cell_angle_gamma 90.00
loop_
_atom_site_label
_atom_site_fract_x
_atom_site_fract_y
_atom_site_fract_z
Ba1 0.0000 0.0000 0.0000
B1 0.5000 0.5000 0.5000
Sb1 0.0000 0.5000 0.5000
Te1 0.5000 0.5000 0.0000
# energy relative to the elements, uncorrected = 0.100 eV/atom
# Fermi-level density of states = 0.67 states/eV/atom
# VASP energy = -31.65 eV per atom
# magnetization = 0.000 μB per atom


# BaBSe2 meta-GGA SCAN PBEsol geometry
data_BaBSe2
_symmetry_space_group_name_H-M 'I -4 2 d'
_symmetry_Int_Tables_number 122
_symmetry_space_group_name_Hall 'I -4 2bw'
_cell_length_a 7.0173
_cell_length_b 7.0173
_cell_length_c 7.3708
_cell_angle_alpha 90.00
_cell_angle_beta 90.00
_cell_angle_gamma 90.00
loop_
_atom_site_label
_atom_site_fract_x
_atom_site_fract_y
_atom_site_fract_z
Ba1 0.0000 0.0000 0.0000
B1 0.0000 0.0000 0.5000
Se1 0.1209 0.2500 0.6250
# energy relative to the elements, uncorrected = -0.568 eV/atom
# Fermi-level density of states = 0.58 states/eV/atom
# VASP energy = -22.35 eV per atom
# magnetization = 0.000 μB per atom


# BaBSe3 meta-GGA SCAN PBEsol geometry
data_BaBSe3
_symmetry_space_group_name_H-M 'P m -3 m'
_symmetry_Int_Tables_number 221
_symmetry_space_group_name_Hall '-P 4 2 3'
_cell_length_a 4.7337
_cell_length_b 4.7337
_cell_length_c 4.7337
_cell_angle_alpha 90.00
_cell_angle_beta 90.00
_cell_angle_gamma 90.00
loop_
_atom_site_label
_atom_site_fract_x
_atom_site_fract_y
_atom_site_fract_z
Ba1 0.0000 0.0000 0.0000
B1 0.5000 0.5000 0.5000
Se1 0.0000 0.5000 0.5000
# energy relative to the elements, uncorrected = -0.351 eV/atom
# Fermi-level density of states = 0.74 states/eV/atom
# VASP energy = -21.79 eV per atom
# magnetization = 0.000 μB per atom


# BaB3Se meta-GGA SCAN PBEsol geometry
data_BaB3Se
_symmetry_space_group_name_H-M 'P m -3 m'
_symmetry_Int_Tables_number 221
_symmetry_space_group_name_Hall '-P 4 2 3'
_cell_length_a 4.3827
_cell_length_b 4.3827
_cell_length_c 4.3827
_cell_angle_alpha 90.00
_cell_angle_beta 90.00
_cell_angle_gamma 90.00
loop_
_atom_site_label
_atom_site_fract_x
_atom_site_fract_y
_atom_site_fract_z
Ba1 0.0000 0.0000 0.0000
B1 0.0000 0.5000 0.5000
Se1 0.5000 0.5000 0.5000
# energy relative to the elements, uncorrected = 1.571 eV/atom
# Fermi-level density of states = 0.34 states/eV/atom
# VASP energy = -14.81 eV per atom
# magnetization = 0.000 μB per atom


# Ba2BSe meta-GGA SCAN PBEsol geometry
data_Ba2BSe
_symmetry_space_group_name_H-M 'F m -3 m'
_symmetry_Int_Tables_number 225
_symmetry_space_group_name_Hall '-F 4 2 3'
_cell_length_a 7.7241
_cell_length_b 7.7241
_cell_length_c 7.7241
_cell_angle_alpha 90.00
_cell_angle_beta 90.00
_cell_angle_gamma 90.00
loop_
_atom_site_label
_atom_site_fract_x
_atom_site_fract_y
_atom_site_fract_z
Ba1 0.2500 0.2500 0.2500
B1 0.0000 0.0000 0.0000
Se1 0.0000 0.0000 0.5000
# energy relative to the elements, uncorrected = -0.433 eV/atom
# Fermi-level density of states = 0.02 states/eV/atom
# VASP energy = -27.08 eV per atom
# magnetization = 0.751 μB per atom


# BaB2Se6 meta-GGA SCAN PBEsol geometry
data_BaB2Se6
_symmetry_space_group_name_H-M 'C m c e'
_symmetry_Int_Tables_number 64
_symmetry_space_group_name_Hall '-C 2ac 2'
_cell_length_a 11.1485
_cell_length_b 7.7079
_cell_length_c 10.2017
_cell_angle_alpha 90.00
_cell_angle_beta 90.00
_cell_angle_gamma 90.00
loop_
_atom_site_label
_atom_site_fract_x
_atom_site_fract_y
_atom_site_fract_z
Ba1 0.0000 0.0000 0.0000
B1 0.1140 0.0000 0.5000
Se1 0.0000 0.1029 0.3595
Se2 0.2099 0.1841 0.5963
# energy relative to the elements, uncorrected = -0.696 eV/atom
# Fermi-level density of states = 0.00 states/eV/atom
# VASP energy = -20.13 eV per atom
# magnetization = 0.000 μB per atom


# BaSi3B meta-GGA SCAN PBEsol geometry
data_BaSi3B
_symmetry_space_group_name_H-M 'P m -3 m'
_symmetry_Int_Tables_number 221
_symmetry_space_group_name_Hall '-P 4 2 3'
_cell_length_a 4.5242
_cell_length_b 4.5242
_cell_length_c 4.5242
_cell_angle_alpha 90.00
_cell_angle_beta 90.00
_cell_angle_gamma 90.00
loop_
_atom_site_label
_atom_site_fract_x
_atom_site_fract_y
_atom_site_fract_z
Ba1 0.0000 0.0000 0.0000
Si1 0.0000 0.5000 0.5000
B1 0.5000 0.5000 0.5000
# energy relative to the elements, uncorrected = 0.720 eV/atom
# Fermi-level density of states = 0.40 states/eV/atom
# VASP energy = -14.69 eV per atom
# magnetization = 0.000 μB per atom


Please write out number 10 again, unchanged.
# Ba2BSe meta-GGA SCAN PBEsol geometry
data_Ba2BSe
_symmetry_space_group_name_H-M 'F m -3 m'
_symmetry_Int_Tables_number 225
_symmetry_space_group_name_Hall '-F 4 2 3'
_cell_length_a 7.7241
_cell_length_b 7.7241
_cell_length_c 7.7241
_cell_angle_alpha 90.00
_cell_angle_beta 90.00
_cell_angle_gamma 90.00
loop_
_atom_site_label
_atom_site_fract_x
_atom_site_fract_y
_atom_site_fract_z
Ba1 0.2500 0.2500 0.2500
B1 0.0000 0.0000 0.0000
Se1 0.0000 0.0000 0.5000
# energy relative to the elements, uncorrected = -0.433 eV/atom
# Fermi-level density of states = 0.02 states/eV/atom
# VASP energy = -27.08 eV per atom
# magnetization = 0.751 μB per atom